Here is crystalline Nd3P2Se at its relaxed geometry from Alexandria via LeMat-Bulk. Energies are from PBE.

Cell: 7.807 7.807 7.967 Å, 90.00 90.00 60.45°
Fractional positions:
Nd1 0.000 0.000 0.000
Nd2 0.000 0.000 0.500
Nd3 0.053 0.518 0.750
Nd4 0.482 0.947 0.750
Nd5 0.518 0.053 0.250
Nd6 0.947 0.482 0.250
P1 0.213 0.213 0.000
P2 0.213 0.213 0.500
P3 0.787 0.787 0.000
P4 0.787 0.787 0.500
Se1 0.285 0.715 0.750
Se2 0.715 0.285 0.250

Values from the calculation:
excess energy over the best structure of this formula in the dataset = 461 meV/atom
energy relative to the elements, uncorrected = -1.250 eV per atom
theoretical density = 4.5 g cm⁻³

Here is crystalline Nd8P4Se3 at its relaxed geometry from Alexandria via LeMat-Bulk. Energies are from PBE.

Cell: 8.356 8.356 8.344 Å, 119.86 119.86 90.11°
Fractional positions:
Nd1 0.236 0.236 0.984
Nd2 0.242 0.242 0.490
Nd3 0.243 0.757 0.000
Nd4 0.244 0.756 0.500
Nd5 0.756 0.244 0.500
Nd6 0.757 0.243 0.000
Nd7 0.758 0.758 0.510
Nd8 0.764 0.764 0.016
P1 0.000 0.000 0.000
P2 0.000 0.000 0.500
P3 0.000 0.500 0.500
P4 0.500 0.000 0.500
Se1 0.000 0.500 0.000
Se2 0.500 0.000 0.000
Se3 0.500 0.500 0.000

Values from the calculation:
energy relative to the elements, uncorrected = -1.599 eV per atom
theoretical density = 6.1 g cm⁻³

Question: Among the records above, which one has the highest theoretical density?
Answer: Nd8P4Se3

Question: Which value of energy relative to the elements, uncorrected does entry 2 give?
Answer: -1.599 eV per atom

Question: What is the energy relative to the elements, uncorrected in the second record?
Answer: -1.599 eV per atom

Question: Which value of theoretical density does entry 2 give?
Answer: 6.1 g cm⁻³